A plane-wave DFT calculation with PBE was carried out for a relaxed KSr3Ir crystal.

POSCAR file:
```
KSr3Ir
1.0
3.8118 -7.8894 0.0000
3.8118 7.8894 0.0000
0.0000 0.0000 6.8216
K Sr Ir
2 6 2
Cartesian
3.8118 6.7299 5.1162
3.8118 -6.7299 1.7054
1.9237 3.1327 5.1162
1.9237 -3.1327 1.7054
3.8118 0.0000 0.0000
3.8118 0.0000 3.4108
5.6999 3.1327 5.1162
5.6999 -3.1327 1.7054
3.8118 2.5522 1.7054
3.8118 -2.5522 5.1162
```

Summary:
The value obtained for the total magnetization is 0.00 μB/cell. The formation energy is 0.1416 eV per atom. For the mass density, the calculation gives 4000 kg/m³. As for the space-group type: Cmcm (63).

=====

A plane-wave DFT calculation with PBE was carried out for a relaxed LiPrBN2 crystal.

POSCAR file:
```
LiPrBN2
1.0
5.4912 0.0000 0.0000
0.0000 3.8057 0.0000
-1.4338 0.0000 5.8837
Li Pr B N
2 2 2 4
Cartesian
-0.3584 0.0833 1.4709
-1.0753 3.7224 4.4128
1.6703 0.8977 4.4128
2.3872 2.9080 1.4709
0.0000 1.9028 0.0000
-0.7169 1.9028 2.9418
1.0595 1.0609 0.2007
0.3426 2.7448 3.1425
3.7149 1.0609 2.7412
2.9980 2.7448 5.6830
```

Summary:
The value obtained for the total magnetization is 0.00 μB/cell. Its formation energy from raw total energies is -0.88 eV per atom. For the mass density, the calculation gives 5042 kg/m³. As for the space-group type: P2/c (13).

=====

A plane-wave DFT calculation with PBE was carried out for a relaxed Nd6TmSn10 crystal.

POSCAR file:
```
Nd6TmSn10
1.0
9.4038 0.0000 0.0000
-4.7019 8.1440 0.0000
0.0000 0.0000 6.4170
Nd Tm Sn
6 1 10
Cartesian
-1.8380 3.1835 1.7096
-2.8639 4.9604 4.7074
3.6760 0.0000 1.7096
1.8380 3.1835 4.7074
5.7278 0.0000 4.7074
2.8639 4.9604 1.7096
0.0000 0.0000 3.2085
-1.1669 2.0210 5.2255
-3.5351 6.1229 1.1915
2.3337 0.0000 5.2255
1.1669 2.0210 1.1915
0.0000 5.4293 0.0000
0.0000 5.4293 3.2085
4.7019 2.7147 0.0000
4.7019 2.7147 3.2085
7.0701 0.0000 1.1915
3.5351 6.1229 5.2255
```

Summary:
The value obtained for the total magnetization is 0.00 μB/cell. The formation energy is -0.5629 eV per atom. For the mass density, the calculation gives 7506 kg/m³. As for the space-group type: P-31m (162).

=====

A plane-wave DFT calculation with PBE was carried out for a relaxed CoCuCl2 crystal.

POSCAR file:
```
CoCuCl2
1.0
1.7534 1.0124 6.1361
-1.7534 1.0124 6.1361
0.0000 -2.0247 6.1361
Co Cu Cl
1 1 2
Cartesian
0.0000 0.0000 0.0000
0.0000 0.0000 9.2041
0.0000 0.0000 4.6622
0.0000 0.0000 13.7461
```

Summary:
The value obtained for the total magnetization is 2.03 μB/cell. Its formation energy from raw total energies is 0.03 eV per atom. For the mass density, the calculation gives 4914 kg/m³. As for the space-group type: R-3m (166).

=====

A plane-wave DFT calculation with PBE was carried out for a relaxed MgBeAs crystal.

POSCAR file:
```
MgBeAs
1.0
0.0000 3.0355 3.0355
3.0355 0.0000 3.0355
3.0355 3.0355 0.0000
Mg Be As
1 1 1
Cartesian
0.0000 0.0000 0.0000
4.5532 4.5532 4.5532
1.5177 1.5177 1.5177
```

Summary:
The value obtained for the total magnetization is 0.00 μB/cell. The formation energy is 0.3758 eV per atom. For the mass density, the calculation gives 3213 kg/m³. As for the space-group type: F-43m (216).

=====

A plane-wave DFT calculation with PBE was carried out for a relaxed SrCdSeN2 crystal.

POSCAR file:
```
SrCdSeN2
1.0
4.7911 0.0000 0.0000
0.0000 4.7911 0.0000
0.0000 0.0000 6.2422
Sr Cd Se N
1 1 1 2
Cartesian
0.0000 0.0000 0.0000
2.3955 2.3955 3.1211
0.0000 0.0000 3.1211
0.0000 2.3955 0.0000
2.3955 0.0000 0.0000
```

Summary:
The value obtained for the total magnetization is 4.45 μB/cell. Its formation energy from raw total energies is 1.19 eV per atom. For the mass density, the calculation gives 3558 kg/m³. As for the space-group type: P4/mmm (123).

=====

A plane-wave DFT calculation with PBE was carried out for a relaxed V2GeBr crystal.

POSCAR file:
```
V2GeBr
1.0
-2.8550 2.8550 5.9527
2.8550 -2.8550 5.9527
2.8550 2.8550 -5.9527
V Ge Br
4 2 2
Cartesian
4.2824 1.3321 -1.4882
1.3321 1.4275 1.4882
-1.4275 1.5228 4.4645
1.5228 1.4275 7.4409
0.0000 0.0000 0.0000
0.0000 2.8550 2.9763
2.8550 0.0000 2.9763
0.0000 0.0000 5.9527
```

Summary:
The value obtained for the total magnetization is 10.02 μB/cell. Its formation energy from raw total energies is 0.51 eV per atom. For the mass density, the calculation gives 4354 kg/m³. As for the space-group type: I-42d (122).

=====

A plane-wave DFT calculation with PBE was carried out for a relaxed MgSn2Pd7 crystal.

POSCAR file:
```
MgSn2Pd7
1.0
3.6902 -6.7719 0.0000
3.6902 6.7719 0.0000
0.0000 0.0000 4.2083
Mg Sn Pd
1 2 7
Cartesian
0.0000 0.0000 0.0000
3.6902 2.6589 2.1042
3.6902 -2.6589 2.1042
1.3560 1.4079 2.1042
3.6902 4.1676 0.0000
1.3560 -1.4079 2.1042
3.6902 0.0000 2.1042
6.0243 1.4079 2.1042
3.6902 -4.1676 0.0000
6.0243 -1.4079 2.1042
```

Summary:
The value obtained for the total magnetization is 0.00 μB/cell. The formation energy is -0.1214 eV per atom. For the mass density, the calculation gives 7948 kg/m³. As for the space-group type: Cmmm (65).